Density functional theory data (PBE) for an optimized crystal structure of AlTcBr.

Output
**Space group**: P-6m2 (187)
**D(E_F)**: 0.746 states/eV per atom
**ΔE_f (raw)**: 0.54 eV/atom

```
AlTcBr
1.0
4.441 0.000 0.000
-2.220 3.846 0.000
0.000 0.000 2.982
Al Tc Br
1 1 1
direct
0.000 0.000 0.000
0.333 0.667 0.500
0.667 0.333 0.500
```